This record from Alexandria describes a geometry-optimized Ca2LaAlN structure. The functional is GGA-PBE.

Formation energy without anion corrections in meV per atom: -631
Crystal system: tetragonal

a b c (Å): 4.937 4.937 5.041
angles (deg): 90.00 90.00 90.00
Space group P4/mmm (No. 123)
Symmetry-distinct sites (fractional):
Ca  0.000  0.500  0.000 (multiplicity 2)
La  0.000  0.000  0.500 (multiplicity 1)
Al  0.500  0.500  0.500 (multiplicity 1)
N  0.000  0.000  0.000 (multiplicity 1)